w:
# Rb2BaCdCl6, optimized geometry, DFT PBE
# - Crystal system: cubic
# - V: 35.75 Å³/atom
data_Rb2BaCdCl6
_cell_length_a 11.266
_cell_length_b 11.266
_cell_length_c 11.266
_cell_angle_alpha 90.00
_cell_angle_beta 90.00
_cell_angle_gamma 90.00
_space_group_name_H-M_alt 'F m -3 m'
_space_group_IT_number 225
_space_group_name_Hall '-F 4 2 3'
loop_
_atom_site_label
_atom_site_type_symbol
_atom_site_fract_x
_atom_site_fract_y
_atom_site_fract_z
Rb1 Rb 0.250 0.250 0.250
Ba1 Ba 0.000 0.000 0.000
Cd1 Cd 0.000 0.000 0.500
Cl1 Cl 0.000 0.000 0.266

x:
# Rb2BaCdCl6, optimized geometry, DFT PBE
# - Crystal system: monoclinic
# - V: 33.65 Å³/atom
data_Rb2BaCdCl6
_cell_length_a 7.675
_cell_length_b 7.974
_cell_length_c 13.301
_cell_angle_alpha 90.00
_cell_angle_beta 124.23
_cell_angle_gamma 90.00
_space_group_name_H-M_alt 'P 1 21/c 1'
_space_group_IT_number 14
_space_group_name_Hall '-P 2ybc'
loop_
_atom_site_label
_atom_site_type_symbol
_atom_site_fract_x
_atom_site_fract_y
_atom_site_fract_z
Rb1 Rb 0.226 0.063 0.248
Ba1 Ba 0.500 0.000 0.000
Cd1 Cd 0.000 0.000 0.500
Cl1 Cl 0.129 0.221 0.945
Cl2 Cl 0.229 0.689 0.950
Cl3 Cl 0.331 0.032 0.731

The computed energies, referenced to the most stable structure and given in meV per atom, are w 41; x 0.

w:
# BaCd3Co, optimized geometry, DFT PBE
# - Crystal system: cubic
# - V: 26.79 Å³/atom
data_BaCd3Co
_cell_length_a 5.117
_cell_length_b 5.117
_cell_length_c 5.117
_cell_angle_alpha 90.00
_cell_angle_beta 90.00
_cell_angle_gamma 90.00
_space_group_name_H-M_alt 'P m -3 m'
_space_group_IT_number 221
_space_group_name_Hall '-P 4 2 3'
loop_
_atom_site_label
_atom_site_type_symbol
_atom_site_fract_x
_atom_site_fract_y
_atom_site_fract_z
Ba1 Ba 0.000 0.000 0.000
Cd1 Cd 0.000 0.500 0.500
Co1 Co 0.500 0.500 0.500

x:
# BaCd3Co, optimized geometry, DFT PBE
# - Crystal system: cubic
# - V: 58.53 Å³/atom
data_BaCd3Co
_cell_length_a 6.639
_cell_length_b 6.639
_cell_length_c 6.639
_cell_angle_alpha 90.00
_cell_angle_beta 90.00
_cell_angle_gamma 90.00
_space_group_name_H-M_alt 'P m -3 m'
_space_group_IT_number 221
_space_group_name_Hall '-P 4 2 3'
loop_
_atom_site_label
_atom_site_type_symbol
_atom_site_fract_x
_atom_site_fract_y
_atom_site_fract_z
Ba1 Ba 0.000 0.000 0.000
Cd1 Cd 0.000 0.000 0.500
Co1 Co 0.500 0.500 0.500

The computed energies, referenced to the most stable structure and given in meV per atom, are w 0; x 1335.